{
  "formula": "HgOsPt2F",
  "functional": "PBE",
  "state": "relaxed",
  "lattice_angstrom": [[4.696, 0.000, 0.000], [0.000, 3.871, 0.000], [0.000, 0.000, 4.696]],
  "species": ["Os", "Hg", "Pt", "Pt", "F"],
  "fractional_positions": [[0.000, 0.500, 0.000], [0.500, 0.500, 0.500], [0.000, 0.000, 0.500], [0.500, 0.000, 0.000], [0.000, 0.000, 0.000]],
  "formation_energy_uncorrected_ev_per_atom": 1.06
}